Cs3AuCl2 | PBE | optimized geometry

abc: 11.0236 5.4007 11.0236
angles: 75.82 28.36 75.82
Fractional coordinates of all 6 atoms:
Cs1 0.0000 0.0000 0.0000
Cs2 0.3306 0.6708 0.3292
Cs3 0.6708 0.3306 0.6694
Au1 0.5000 0.5000 0.5000
Cl1 0.1674 0.8340 0.1660
Cl2 0.8340 0.1674 0.8326

Summary:
Formation energy from raw total energies (meV/atom): -1383
Calculated volume (Å³/atom): 50.3
Offset from the most stable computed form (meV/atom): 31
Space-group type: Fmm2 (42)